Compound: SiBiAu
Source: the Open Quantum Materials Database
Functional: PBE
Structure: relaxed

The structure in POSCAR format:
```
SiBiAu
1.0
0.000 3.303 3.303
3.303 0.000 3.303
3.303 3.303 0.000
Au Bi Si
1 1 1
Cartesian
1.651 1.651 1.651
4.954 4.954 4.954
0.000 0.000 0.000
```

Summary:
For the electronic total energy, the calculation gives -3.980 eV per atom. The volume is 24.02 A^3/atom.